Below is a geometry-optimized Tb3TcC3 structure, with properties calculated at the GGA-PBE level.

```
Tb3TcC3
1.0
4.364 -5.249 0.000
4.364 5.249 0.000
0.000 0.000 5.173
Tb Tc C
6 2 6
Cartesian
4.364 4.114 3.880 Tb
2.506 1.251 3.880 Tb
2.506 -1.251 1.293 Tb
6.223 1.251 3.880 Tb
6.223 -1.251 1.293 Tb
4.364 -4.114 1.293 Tb
4.364 2.011 1.293 Tc
4.364 -2.011 3.880 Tc
4.364 3.953 1.293 C
2.569 1.290 1.293 C
2.569 -1.290 3.880 C
6.160 1.290 1.293 C
6.160 -1.290 3.880 C
4.364 -3.953 3.880 C
```

## Properties
Its formation energy is -0.333 eV per atom. The value obtained for the mass density is 8.6 g/cm³. Its space group is Cmcm (63). As for the total energy: -54.26 eV per formula unit. The excess energy over the best structure of this formula in the dataset comes out at 0.00 eV/f.u. Its total magnetization is 0.0 μB per formula unit.



Below is a geometry-optimized Nd5MgPb5 structure, with properties calculated at the GGA-PBE level.

```
Nd5MgPb5
1.0
9.202 -2.932 0.000
9.202 2.932 0.000
-2.254 0.000 6.698
Nd Mg Pb
5 1 5
Cartesian
0.000 0.000 0.000 Nd
5.394 0.000 1.716 Nd
4.260 0.000 5.078 Nd
11.891 0.000 1.621 Nd
10.757 0.000 4.983 Nd
-1.127 0.000 3.349 Mg
1.918 0.000 2.840 Pb
0.844 0.000 6.138 Pb
8.076 0.000 3.349 Pb
15.307 0.000 0.561 Pb
14.233 0.000 3.858 Pb
```

## Properties
Its formation energy is -0.257 eV per atom. The value obtained for the mass density is 8.2 g/cm³. Its space group is C2/m (12). As for the total energy: -46.80 eV per formula unit. Its total magnetization is 0.0 μB per formula unit.



Below is a geometry-optimized CsSmCuI6 structure, with properties calculated at the GGA-PBE level.

```
CsSmCuI6
1.0
7.508 0.000 0.000
-2.827 7.086 0.000
-0.975 -0.995 8.309
Cs Sm Cu I
1 1 1 6
Cartesian
0.000 0.000 0.000 Cs
0.670 4.120 4.243 Sm
4.481 2.031 3.664 Cu
-1.536 3.821 2.092 I
-0.852 1.570 5.214 I
-0.089 5.810 6.585 I
2.346 2.521 2.084 I
1.787 6.581 2.687 I
3.146 3.078 5.774 I
```

## Properties
The formation energy from raw total energies is -0.972 eV per atom. The value obtained for the mass density is 4.2 g/cm³. Its space group is P1 (1). As for the total energy: -27.72 eV per formula unit. Its total magnetization is 0.9 μB per formula unit.



Below is a geometry-optimized Pr4AlNi structure, with properties calculated at the GGA-PBE level.

```
Pr4AlNi
1.0
2.653 -10.417 0.000
2.653 10.417 0.000
0.000 0.000 6.655
Pr Al Ni
8 2 2
Cartesian
2.653 9.395 3.328 Pr
2.653 6.329 1.682 Pr
2.653 6.343 4.984 Pr
2.653 1.943 3.337 Pr
2.653 -1.943 0.010 Pr
2.653 -6.343 1.656 Pr
2.653 -6.329 5.010 Pr
2.653 -9.395 0.000 Pr
2.653 3.213 0.004 Al
2.653 -3.213 3.332 Al
2.653 8.692 0.001 Ni
2.653 -8.692 3.329 Ni
```

## Properties
Its formation energy is -0.083 eV per atom. The value obtained for the mass density is 5.9 g/cm³. Its space group is Cmc2_1 (36). As for the total energy: -29.14 eV per formula unit. The excess energy over the best structure of this formula in the dataset comes out at 0.48 eV/f.u. Its total magnetization is 0.0 μB per formula unit.



Below is a geometry-optimized Sm3B2C3 structure, with properties calculated at the GGA-PBE level.

```
Sm3B2C3
1.0
1.484 -5.154 0.000
1.484 5.154 0.000
0.000 0.000 14.707
Sm B C
6 4 6
Cartesian
1.484 3.885 8.864 Sm
1.484 3.885 13.196 Sm
1.484 1.293 11.030 Sm
1.484 -1.293 3.677 Sm
1.484 -3.885 1.511 Sm
1.484 -3.885 5.842 Sm
1.484 3.720 1.280 B
1.484 3.720 6.073 B
1.484 -3.720 8.634 B
1.484 -3.720 13.427 B
1.484 1.439 3.677 C
1.484 1.203 8.394 C
1.484 1.203 13.666 C
1.484 -1.203 1.041 C
1.484 -1.203 6.312 C
1.484 -1.439 11.030 C
```

## Properties
Its formation energy is 0.008 eV per atom. The value obtained for the mass density is 7.5 g/cm³. Its space group is Cmcm (63). As for the total energy: -55.12 eV per formula unit. Its total magnetization is 0.0 μB per formula unit.



Below is a geometry-optimized Pm3PrHo2S6 structure, with properties calculated at the GGA-PBE level.

```
Pm3PrHo2S6
1.0
3.454 -6.001 0.000
3.454 6.001 0.000
-2.310 0.000 6.533
Pm Pr Ho S
3 1 2 6
Cartesian
0.000 0.000 0.000 Pm
3.454 1.932 0.000 Pm
3.454 -1.932 0.000 Pm
2.299 0.000 3.266 Pr
2.299 4.008 3.266 Ho
2.299 -4.008 3.266 Ho
1.108 2.075 1.673 S
-0.089 0.000 4.829 S
1.108 -2.075 1.673 S
3.491 2.075 4.860 S
4.688 0.000 1.704 S
3.491 -2.075 4.860 S
```

## Properties
The formation energy from raw total energies is -2.013 eV per atom. The value obtained for the mass density is 6.7 g/cm³. Its space group is C2/m (12). As for the total energy: -77.11 eV per formula unit. Its total magnetization is 0.0 μB per formula unit.



Below is a geometry-optimized Na2Tm2TcO6 structure, with properties calculated at the GGA-PBE level.

```
Na2Tm2TcO6
1.0
2.842 -4.897 0.000
2.842 4.897 0.000
-1.636 0.000 5.639
Na Tm Tc O
2 2 1 6
Cartesian
2.842 3.382 0.000 Na
2.842 -3.382 0.000 Na
2.024 1.608 2.820 Tm
2.024 -1.608 2.820 Tm
-0.818 0.000 2.820 Tc
0.051 1.566 3.913 O
0.912 0.000 1.706 O
0.051 -1.566 3.913 O
3.996 1.566 1.727 O
3.135 0.000 3.934 O
3.996 -1.566 1.727 O
```

## Properties
The formation energy from raw total energies is -2.426 eV per atom. The value obtained for the mass density is 6.1 g/cm³. Its space group is C2/m (12). As for the total energy: -78.38 eV per formula unit. Its total magnetization is 3.0 μB per formula unit.



Below is a geometry-optimized GaSnIrS2 structure, with properties calculated at the GGA-PBE level.

```
GaSnIrS2
1.0
3.435 0.000 0.000
-1.670 5.208 0.000
-0.208 -1.786 6.164
Ga Sn Ir S
1 1 1 2
Cartesian
0.000 0.000 0.000 Ga
-0.208 2.485 3.302 Sn
1.531 1.185 5.106 Ir
-0.186 -0.102 4.140 S
1.725 1.404 0.861 S
```

## Properties
The formation energy from raw total energies is -0.167 eV per atom. The value obtained for the mass density is 6.7 g/cm³. Its space group is P1 (1). As for the total energy: -24.98 eV per formula unit. The excess energy over the best structure of this formula in the dataset comes out at 1.43 eV/f.u. Its total magnetization is 0.0 μB per formula unit.



Below is a geometry-optimized TaBe2Au2 structure, with properties calculated at the GGA-PBE level.

```
TaBe2Au2
1.0
7.043 0.000 0.000
0.000 7.043 0.000
0.000 0.000 2.820
Ta Be Au
2 4 4
Cartesian
0.000 0.000 0.000 Ta
3.522 3.522 0.000 Ta
0.904 2.617 0.000 Be
2.617 6.139 0.000 Be
4.426 0.904 0.000 Be
6.139 4.426 0.000 Be
1.179 4.700 1.410 Au
2.343 1.179 1.410 Au
4.700 5.864 1.410 Au
5.864 2.343 1.410 Au
```

## Properties
Its formation energy is -0.013 eV per atom. The value obtained for the mass density is 14.1 g/cm³. Its space group is P4/mbm (127). As for the total energy: -25.93 eV per formula unit. The excess energy over the best structure of this formula in the dataset comes out at 0.00 eV/f.u. Its total magnetization is 0.0 μB per formula unit.



Below is a geometry-optimized CaPr4Sm structure, with properties calculated at the GGA-PBE level.

```
CaPr4Sm
1.0
0.000 4.859 4.859
4.859 0.000 4.859
4.859 4.859 0.000
Ca Pr Sm
1 4 1
Cartesian
0.000 0.000 0.000 Ca
6.060 3.658 3.658 Pr
3.658 6.060 3.658 Pr
3.658 3.658 6.060 Pr
6.060 6.060 6.060 Pr
2.430 2.430 2.430 Sm
```

## Properties
Its formation energy is 0.207 eV per atom. The value obtained for the mass density is 5.5 g/cm³. Its space group is F-43m (216). As for the total energy: -24.60 eV per formula unit. The excess energy over the best structure of this formula in the dataset comes out at 1.04 eV/f.u. Its total magnetization is 0.0 μB per formula unit.



Below is a geometry-optimized LiPu2ZnAu6 structure, with properties calculated at the GGA-PBE level.

```
LiPu2ZnAu6
1.0
5.571 0.000 0.000
2.767 6.244 0.000
2.773 0.506 6.252
Li Pu Zn Au
1 2 1 6
Cartesian
0.000 0.000 0.000 Li
2.774 1.525 1.796 Pu
8.337 5.225 4.455 Pu
5.555 3.375 3.126 Zn
4.146 4.972 1.661 Au
5.551 4.217 5.641 Au
4.170 1.762 4.601 Au
6.941 4.987 1.651 Au
5.560 2.532 0.611 Au
6.965 1.778 4.591 Au
```

## Properties
Its formation energy is -0.251 eV per atom. The value obtained for the mass density is 13.3 g/cm³. Its space group is P-1 (2). As for the total energy: -54.03 eV per formula unit. Its total magnetization is 11.8 μB per formula unit.



Below is a geometry-optimized Ca2In8Au structure, with properties calculated at the GGA-PBE level.

```
Ca2In8Au
1.0
4.862 0.000 0.000
0.000 4.862 0.000
0.000 0.000 12.083
Ca In Au
2 8 1
Cartesian
0.000 0.000 2.263 Ca
0.000 0.000 9.819 Ca
0.000 2.431 0.000 In
0.000 2.431 4.455 In
0.000 2.431 7.628 In
2.431 0.000 0.000 In
2.431 0.000 4.455 In
2.431 0.000 7.628 In
2.431 2.431 2.361 In
2.431 2.431 9.721 In
0.000 0.000 6.041 Au
```

## Properties
Its formation energy is -0.287 eV per atom. The value obtained for the mass density is 7.0 g/cm³. Its space group is P4/mmm (123). As for the total energy: -32.35 eV per formula unit. Its total magnetization is 0.0 μB per formula unit.



Which value of mass density does entry 12 give?
7.0 g/cm³



Among the records above, which one has the lowest mass density?
CsSmCuI6



Among the records above, which one has the highest mass density?
TaBe2Au2



What is the mass density in the twelfth record?
7.0 g/cm³